Sr2AlH: optimized geometry, PBE-GGA.

## Properties
- Excess energy over the best structure of this formula in the dataset: 24.80 kJ per mole of atoms
- SG: Fm-3m
- Density: 2.9 g cm⁻³
- Spin magnetization: 0.00 μB/atom

Structure (POSCAR):
```
Sr2AlH
1.0
0.0000 3.8571 3.8571
3.8571 0.0000 3.8571
3.8571 3.8571 0.0000
Sr Al H
2 1 1
Direct
0.2500 0.2500 0.2500 Sr
0.7500 0.7500 0.7500 Sr
0.0000 0.0000 0.0000 Al
0.5000 0.5000 0.5000 H
```